(1)
# PBE Al3Te4, optimized geometry
# Calculated volume, A^3/atom: 32.18
# E_form (uncorrected), eV/f.u.: -2.079
# Magnetization, Bohr magnetons per cell: 0.00
data_Al3Te4
_cell_length_a 6.085
_cell_length_b 6.085
_cell_length_c 6.085
_cell_angle_alpha 90.00
_cell_angle_beta 90.00
_cell_angle_gamma 90.00
_space_group_name_H-M_alt 'P 1'
_space_group_IT_number 1
loop_
_space_group_symop_operation_xyz
'x,y,z'
loop_
_atom_site_label
_atom_site_type_symbol
_atom_site_fract_x
_atom_site_fract_y
_atom_site_fract_z
_atom_site_occupancy
Al1 Al 0.500 0.000 0.500 1
Al2 Al 0.500 0.500 0.000 1
Al3 Al 0.000 0.500 0.500 1
Te1 Te 0.232 0.768 0.232 1
Te2 Te 0.768 0.232 0.232 1
Te3 Te 0.768 0.768 0.768 1
Te4 Te 0.232 0.232 0.768 1


(2)
# PBE Na3Tl3SnI8, optimized geometry
# Calculated volume, A^3/atom: 41.93
# E_form (uncorrected), eV/f.u.: -13.009
# Magnetization, Bohr magnetons per cell: 0.00
data_Na3Tl3SnI8
_cell_length_a 9.454
_cell_length_b 9.460
_cell_length_c 9.788
_cell_angle_alpha 118.93
_cell_angle_beta 90.00
_cell_angle_gamma 119.98
_space_group_name_H-M_alt 'P 1'
_space_group_IT_number 1
loop_
_space_group_symop_operation_xyz
'x,y,z'
loop_
_atom_site_label
_atom_site_type_symbol
_atom_site_fract_x
_atom_site_fract_y
_atom_site_fract_z
_atom_site_occupancy
Na1 Na 0.500 0.000 0.500 1
Na2 Na 0.500 0.500 0.500 1
Na3 Na 0.000 0.500 0.500 1
Tl1 Tl 0.000 0.000 0.000 1
Tl2 Tl 0.000 0.500 0.000 1
Tl3 Tl 0.500 0.500 0.000 1
Sn1 Sn 0.000 0.000 0.500 1
I1 I 0.259 0.517 0.276 1
I2 I 0.741 0.483 0.724 1
I3 I 0.762 0.525 0.280 1
I4 I 0.238 0.475 0.720 1
I5 I 0.762 0.018 0.280 1
I6 I 0.238 0.982 0.720 1
I7 I 0.256 0.018 0.280 1
I8 I 0.744 0.982 0.720 1


(3)
# PBE MgCrNi6, optimized geometry
# Calculated volume, A^3/atom: 11.51
# Magnetization, Bohr magnetons per cell: 1.43
# ΔH_f (0 K), kcal/mol of atoms: -1.468
data_MgCrNi6
_cell_length_a 6.203
_cell_length_b 6.203
_cell_length_c 10.152
_cell_angle_alpha 90.00
_cell_angle_beta 90.00
_cell_angle_gamma 109.47
_space_group_name_H-M_alt 'P 1'
_space_group_IT_number 1
loop_
_space_group_symop_operation_xyz
'x,y,z'
loop_
_atom_site_label
_atom_site_type_symbol
_atom_site_fract_x
_atom_site_fract_y
_atom_site_fract_z
_atom_site_occupancy
Cr1 Cr 0.253 0.747 0.250 1
Cr2 Cr 0.747 0.253 0.250 1
Cr3 Cr 0.000 0.000 0.504 1
Cr4 Cr 0.000 0.000 0.996 1
Mg1 Mg 0.254 0.746 0.750 1
Mg2 Mg 0.746 0.254 0.750 1
Mg3 Mg 0.500 0.500 0.499 1
Mg4 Mg 0.500 0.500 0.001 1
Ni1 Ni 0.245 0.755 0.491 1
Ni2 Ni 0.882 0.636 0.619 1
Ni3 Ni 0.118 0.364 0.619 1
Ni4 Ni 0.755 0.245 0.491 1
Ni5 Ni 0.364 0.118 0.619 1
Ni6 Ni 0.636 0.882 0.619 1
Ni7 Ni 0.500 0.500 0.250 1
Ni8 Ni 0.117 0.370 0.371 1
Ni9 Ni 0.370 0.117 0.371 1
Ni10 Ni 0.245 0.755 0.009 1
Ni11 Ni 0.883 0.630 0.129 1
Ni12 Ni 0.117 0.370 0.129 1
Ni13 Ni 0.755 0.245 0.009 1
Ni14 Ni 0.370 0.117 0.129 1
Ni15 Ni 0.630 0.883 0.129 1
Ni16 Ni 0.500 0.500 0.750 1
Ni17 Ni 0.118 0.364 0.881 1
Ni18 Ni 0.364 0.118 0.881 1
Ni19 Ni 0.000 0.000 0.250 1
Ni20 Ni 0.630 0.883 0.371 1
Ni21 Ni 0.883 0.630 0.371 1
Ni22 Ni 0.000 0.000 0.750 1
Ni23 Ni 0.636 0.882 0.881 1
Ni24 Ni 0.882 0.636 0.881 1


(4)
# PBE La5NdDyTm2, optimized geometry
# Calculated volume, A^3/atom: 35.46
# Magnetization, Bohr magnetons per cell: 0.00
# ΔH_f (0 K), kcal/mol of atoms: 2.963
data_La5NdDyTm2
_cell_length_a 5.500
_cell_length_b 11.182
_cell_length_c 10.708
_cell_angle_alpha 90.00
_cell_angle_beta 90.00
_cell_angle_gamma 104.24
_space_group_name_H-M_alt 'P 1'
_space_group_IT_number 1
loop_
_space_group_symop_operation_xyz
'x,y,z'
loop_
_atom_site_label
_atom_site_type_symbol
_atom_site_fract_x
_atom_site_fract_y
_atom_site_fract_z
_atom_site_occupancy
La1 La 0.377 0.755 0.008 1
La2 La 0.721 0.441 0.818 1
La3 La 0.500 0.000 0.758 1
La4 La 0.280 0.560 0.699 1
La5 La 0.000 0.000 0.508 1
La6 La 0.623 0.245 0.508 1
La7 La 0.279 0.559 0.318 1
La8 La 0.500 0.000 0.258 1
La9 La 0.720 0.440 0.199 1
La10 La 0.000 0.000 0.008 1
Nd1 Nd 0.785 0.571 0.508 1
Nd2 Nd 0.215 0.429 0.008 1
Dy1 Dy 0.600 0.200 0.008 1
Dy2 Dy 0.400 0.800 0.508 1
Tm1 Tm 0.888 0.775 0.755 1
Tm2 Tm 0.113 0.225 0.761 1
Tm3 Tm 0.112 0.225 0.255 1
Tm4 Tm 0.887 0.775 0.261 1


(5)
# PBE NdSm2Dy2Tm2, optimized geometry
# Calculated volume, A^3/atom: 33.16
# Magnetization, Bohr magnetons per cell: 0.00
# ΔH_f (0 K), kcal/mol of atoms: 3.410
data_NdSm2Dy2Tm2
_cell_length_a 3.498
_cell_length_b 9.198
_cell_length_c 8.438
_cell_angle_alpha 118.85
_cell_angle_beta 90.00
_cell_angle_gamma 100.96
_space_group_name_H-M_alt 'P 1'
_space_group_IT_number 1
loop_
_space_group_symop_operation_xyz
'x,y,z'
loop_
_atom_site_label
_atom_site_type_symbol
_atom_site_fract_x
_atom_site_fract_y
_atom_site_fract_z
_atom_site_occupancy
Nd1 Nd 0.000 0.000 0.500 1
Sm1 Sm 0.649 0.297 0.910 1
Sm2 Sm 0.351 0.703 0.090 1
Dy1 Dy 0.429 0.858 0.766 1
Dy2 Dy 0.571 0.142 0.234 1
Tm1 Tm 0.788 0.576 0.376 1
Tm2 Tm 0.212 0.424 0.624 1


(6)
# PBE Ac7Cd2Ir2, optimized geometry
# Calculated volume, A^3/atom: 35.59
# Magnetization, Bohr magnetons per cell: 0.00
# Energy above the lowest structure with this stoichiometry, meV per atom: 0
# ΔH_f (0 K), kcal/mol of atoms: -8.421
data_Ac7Cd2Ir2
_cell_length_a 4.096
_cell_length_b 10.501
_cell_length_c 10.501
_cell_angle_alpha 62.91
_cell_angle_beta 78.75
_cell_angle_gamma 78.75
_space_group_name_H-M_alt 'P 1'
_space_group_IT_number 1
loop_
_space_group_symop_operation_xyz
'x,y,z'
loop_
_atom_site_label
_atom_site_type_symbol
_atom_site_fract_x
_atom_site_fract_y
_atom_site_fract_z
_atom_site_occupancy
Ac1 Ac 0.813 0.091 0.283 1
Ac2 Ac 0.854 0.391 0.900 1
Ac3 Ac 0.500 0.022 0.978 1
Ac4 Ac 0.633 0.469 0.265 1
Ac5 Ac 0.367 0.735 0.531 1
Ac6 Ac 0.187 0.717 0.909 1
Ac7 Ac 0.146 0.100 0.609 1
Cd1 Cd 0.000 0.766 0.234 1
Cd2 Cd 0.500 0.359 0.641 1
Ir1 Ir 0.737 0.865 0.661 1
Ir2 Ir 0.263 0.339 0.135 1


(7)
# PBE ErCdAu, optimized geometry
# Calculated volume, A^3/atom: 25.59
# Magnetization, Bohr magnetons per cell: 0.00
# ΔH_f (0 K), kcal/mol of atoms: -11.894
data_ErCdAu
_cell_length_a 4.770
_cell_length_b 4.770
_cell_length_c 4.770
_cell_angle_alpha 60.00
_cell_angle_beta 60.00
_cell_angle_gamma 60.00
_space_group_name_H-M_alt 'P 1'
_space_group_IT_number 1
loop_
_space_group_symop_operation_xyz
'x,y,z'
loop_
_atom_site_label
_atom_site_type_symbol
_atom_site_fract_x
_atom_site_fract_y
_atom_site_fract_z
_atom_site_occupancy
Cd1 Cd 0.500 0.500 0.500 1
Au1 Au 0.250 0.250 0.250 1
Er1 Er 0.000 0.000 0.000 1


(8)
# PBE InPbCl5, optimized geometry
# Calculated volume, A^3/atom: 37.36
# E_form (uncorrected), eV/f.u.: -7.472
# Magnetization, Bohr magnetons per cell: 0.00
# Energy above the lowest structure with this stoichiometry, meV per atom: 0
data_InPbCl5
_cell_length_a 7.482
_cell_length_b 7.483
_cell_length_c 10.712
_cell_angle_alpha 110.86
_cell_angle_beta 110.85
_cell_angle_gamma 85.36
_space_group_name_H-M_alt 'P 1'
_space_group_IT_number 1
loop_
_space_group_symop_operation_xyz
'x,y,z'
loop_
_atom_site_label
_atom_site_type_symbol
_atom_site_fract_x
_atom_site_fract_y
_atom_site_fract_z
_atom_site_occupancy
In1 In 0.911 0.589 0.250 1
In2 In 0.089 0.411 0.750 1
Pb1 Pb 0.500 0.000 0.000 1
Pb2 Pb 0.500 0.000 0.500 1
Cl1 Cl 0.757 0.683 0.046 1
Cl2 Cl 0.253 0.641 0.330 1
Cl3 Cl 0.420 0.080 0.250 1
Cl4 Cl 0.818 0.744 0.454 1
Cl5 Cl 0.182 0.256 0.546 1
Cl6 Cl 0.859 0.248 0.170 1
Cl7 Cl 0.141 0.752 0.830 1
Cl8 Cl 0.580 0.920 0.750 1
Cl9 Cl 0.747 0.359 0.670 1
Cl10 Cl 0.243 0.317 0.954 1


(9)
# PBE Tc3SnN, optimized geometry
# Calculated volume, A^3/atom: 16.38
# E_form (uncorrected), eV/f.u.: 2.375
# Magnetization, Bohr magnetons per cell: 0.00
# Energy above the lowest structure with this stoichiometry, meV per atom: 432
data_Tc3SnN
_cell_length_a 5.332
_cell_length_b 5.332
_cell_length_c 6.884
_cell_angle_alpha 67.22
_cell_angle_beta 67.22
_cell_angle_gamma 90.00
_space_group_name_H-M_alt 'P 1'
_space_group_IT_number 1
loop_
_space_group_symop_operation_xyz
'x,y,z'
loop_
_atom_site_label
_atom_site_type_symbol
_atom_site_fract_x
_atom_site_fract_y
_atom_site_fract_z
_atom_site_occupancy
N1 N 0.000 0.000 0.000 1
N2 N 0.250 0.750 0.500 1
Sn1 Sn 0.579 0.079 0.842 1
Sn2 Sn 0.921 0.421 0.158 1
Tc1 Tc 0.625 0.850 0.299 1
Tc2 Tc 0.150 0.375 0.701 1
Tc3 Tc 0.150 0.924 0.701 1
Tc4 Tc 0.076 0.850 0.299 1
Tc5 Tc 0.355 0.355 0.289 1
Tc6 Tc 0.645 0.645 0.711 1


(10)
# PBE CeMg2Cd, optimized geometry
# Calculated volume, A^3/atom: 23.89
# Magnetization, Bohr magnetons per cell: 0.75
# Energy above the lowest structure with this stoichiometry, meV per atom: 73
# ΔH_f (0 K), kcal/mol of atoms: -1.266
data_CeMg2Cd
_cell_length_a 3.255
_cell_length_b 3.255
_cell_length_c 9.021
_cell_angle_alpha 90.00
_cell_angle_beta 90.00
_cell_angle_gamma 90.00
_space_group_name_H-M_alt 'P 1'
_space_group_IT_number 1
loop_
_space_group_symop_operation_xyz
'x,y,z'
loop_
_atom_site_label
_atom_site_type_symbol
_atom_site_fract_x
_atom_site_fract_y
_atom_site_fract_z
_atom_site_occupancy
Mg1 Mg 0.000 0.000 0.781 1
Mg2 Mg 0.000 0.000 0.219 1
Ce1 Ce 0.500 0.500 0.500 1
Cd1 Cd 0.500 0.500 0.000 1


(11)
# PBE La2TcRu, optimized geometry
# Calculated volume, A^3/atom: 24.12
# Magnetization, Bohr magnetons per cell: 0.00
# Energy above the lowest structure with this stoichiometry, meV per atom: 127
# ΔH_f (0 K), kcal/mol of atoms: 2.685
data_La2TcRu
_cell_length_a 6.574
_cell_length_b 6.574
_cell_length_c 4.650
_cell_angle_alpha 69.31
_cell_angle_beta 69.31
_cell_angle_gamma 31.07
_space_group_name_H-M_alt 'P 1'
_space_group_IT_number 1
loop_
_space_group_symop_operation_xyz
'x,y,z'
loop_
_atom_site_label
_atom_site_type_symbol
_atom_site_fract_x
_atom_site_fract_y
_atom_site_fract_z
_atom_site_occupancy
La1 La 0.015 0.015 0.985 1
La2 La 0.237 0.237 0.263 1
Ru1 Ru 0.450 0.450 0.550 1
Tc1 Tc 0.798 0.798 0.702 1


(12)
# PBE KTcSe2, optimized geometry
# Calculated volume, A^3/atom: 23.14
# E_form (uncorrected), eV/f.u.: 1.802
# Magnetization, Bohr magnetons per cell: 3.79
# Energy above the lowest structure with this stoichiometry, meV per atom: 943
data_KTcSe2
_cell_length_a 6.080
_cell_length_b 6.080
_cell_length_c 6.080
_cell_angle_alpha 139.86
_cell_angle_beta 139.86
_cell_angle_gamma 58.07
_space_group_name_H-M_alt 'P 1'
_space_group_IT_number 1
loop_
_space_group_symop_operation_xyz
'x,y,z'
loop_
_atom_site_label
_atom_site_type_symbol
_atom_site_fract_x
_atom_site_fract_y
_atom_site_fract_z
_atom_site_occupancy
K1 K 0.750 0.250 0.500 1
Se1 Se 0.000 0.000 0.000 1
Se2 Se 0.250 0.750 0.500 1
Tc1 Tc 0.500 0.500 0.000 1


Q: Which value of magnetization does entry 5 give?
A: 0.00 Bohr magnetons per cell


Q: Among the records above, which one has the highest magnetization?
A: KTcSe2